VASP calculation (PBE) on crystalline Rb3AcTe2O9 at its relaxed geometry.

Calculated values
Formation energy from raw total energies, eV/atom: -1.613
Calculated volume, Å³/f.u.: 240.78

Unit cell a=6.0629 b=6.0629 c=7.5636 alpha=90.00 beta=90.00 gamma=120.00
Closest atoms and distances in Å follow each position.
Fractional positions:
Rb: 0.0000 0.0000 0.0000  12 O 2.97-3.03
Rb: 0.3333 0.6667 0.6757  12 O 3.01-3.25
Rb: 0.6667 0.3333 0.3243  12 O 3.01-3.25
Ac: 0.0000 0.0000 0.5000  6 O 2.44
Te: 0.3333 0.6667 0.1596  6 O 1.91-2.13
Te: 0.6667 0.3333 0.8404  6 O 1.91-2.13
O: 0.0000 0.5000 0.0000  2 Te 2.13
O: 0.1822 0.3644 0.3003  1 Te 1.91
O: 0.1822 0.8178 0.3003  1 Te 1.91
O: 0.3644 0.1822 0.6997  1 Te 1.91
O: 0.5000 0.0000 0.0000  2 Te 2.13
O: 0.5000 0.5000 0.0000  2 Te 2.13
O: 0.6356 0.8178 0.3003  1 Te 1.91
O: 0.8178 0.1822 0.6997  1 Te 1.91
O: 0.8178 0.6356 0.6997  1 Te 1.91